# 1
Below is an optimized crystal structure of PrBiSe3, with properties calculated at the PBE level.

Results
For the energy above the most stable polymorph in this dataset, the calculation gives 0.00 kJ/mol of atoms. The value obtained for the total energy is -4.94 eV per atom.

Lattice parameters (Å, degrees): 8.0155 4.1721 16.4347 90.00 90.00 90.00
Closest atoms and distances in Å follow each position.
Fractional coordinates of all 20 atoms:
Pr 0.1310 0.2500 0.2004  8 Se 3.01-3.36
Pr 0.3690 0.7500 0.7004  8 Se 3.01-3.36
Pr 0.6310 0.2500 0.2996  8 Se 3.01-3.36
Pr 0.8690 0.7500 0.7996  8 Se 3.01-3.36
Bi 0.2229 0.7500 0.4546  7 Se 2.91-3.21
Bi 0.2771 0.2500 0.9546  7 Se 2.91-3.21
Bi 0.7229 0.7500 0.0454  7 Se 2.91-3.21
Bi 0.7771 0.2500 0.5454  7 Se 2.91-3.21
Se 0.0043 0.2500 0.3921  3 Bi 2.91-3.11
Se 0.1207 0.7500 0.0670  2 Pr 3.03, 3 Bi 3.06-3.21, 1 Se 3.33
Se 0.1554 0.2500 0.7816  1 Bi 3.01, 4 Pr 3.01-3.12, 1 Se 3.33
Se 0.3446 0.7500 0.2816  1 Bi 3.01, 4 Pr 3.01-3.12, 1 Se 3.33
Se 0.3793 0.2500 0.5670  2 Pr 3.03, 3 Bi 3.06-3.21, 1 Se 3.33
Se 0.4957 0.7500 0.8921  3 Bi 2.91-3.11
Se 0.5043 0.2500 0.1079  3 Bi 2.91-3.11
Se 0.6207 0.7500 0.4330  2 Pr 3.03, 3 Bi 3.06-3.21, 1 Se 3.33
Se 0.6554 0.2500 0.7184  1 Bi 3.01, 4 Pr 3.01-3.12, 1 Se 3.33
Se 0.8446 0.7500 0.2184  1 Bi 3.01, 4 Pr 3.01-3.12, 1 Se 3.33
Se 0.8793 0.2500 0.9330  2 Pr 3.03, 3 Bi 3.06-3.21, 1 Se 3.33
Se 0.9957 0.7500 0.6079  3 Bi 2.91-3.11

=====

# 2
Below is an optimized crystal structure of PrBiSe2, with properties calculated at the PBE level.

Results
The value obtained for the total energy is -4.94 eV per atom.

Lattice parameters (Å, degrees): 4.1936 4.1936 27.5563 90.00 90.00 120.00
Closest atoms and distances in Å follow each position.
Fractional coordinates of all 12 atoms:
Pr 0.0000 0.0000 0.0000  6 Se 2.96
Pr 0.3333 0.6667 0.6667  6 Se 2.96
Pr 0.6667 0.3333 0.3333  6 Se 2.96
Bi 0.0000 0.0000 0.5000  2 Se 2.90
Bi 0.3333 0.6667 0.1667  2 Se 2.90
Bi 0.6667 0.3333 0.8333  2 Se 2.90
Se 0.0000 0.0000 0.3949  1 Bi 2.90, 3 Pr 2.96
Se 0.0000 0.0000 0.6051  1 Bi 2.90, 3 Pr 2.96
Se 0.3333 0.6667 0.0616  1 Bi 2.90, 3 Pr 2.96
Se 0.3333 0.6667 0.2717  1 Bi 2.90, 3 Pr 2.96
Se 0.6667 0.3333 0.7283  1 Bi 2.90, 3 Pr 2.96
Se 0.6667 0.3333 0.9384  1 Bi 2.90, 3 Pr 2.96

=====

# 3
Below is an optimized crystal structure of PrBiSe, with properties calculated at the PBE level.

Results
The value obtained for the total energy is -5.33 eV per atom.

Lattice parameters (Å, degrees): 4.3536 4.3536 18.6844 90.00 90.00 90.00
Closest atoms and distances in Å follow each position.
Fractional coordinates of all 12 atoms:
Pr 0.0000 0.0000 0.1532  5 Se 3.01-3.14
Pr 0.0000 0.0000 0.8468  5 Se 3.01-3.14
Pr 0.5000 0.5000 0.3468  5 Se 3.01-3.14
Pr 0.5000 0.5000 0.6532  5 Se 3.01-3.14
Bi 0.0000 0.5000 0.0000  4 Bi 3.08
Bi 0.0000 0.5000 0.5000  4 Bi 3.08
Bi 0.5000 0.0000 0.0000  4 Bi 3.08
Bi 0.5000 0.0000 0.5000  4 Bi 3.08
Se 0.0000 0.0000 0.3144  5 Pr 3.01-3.14
Se 0.0000 0.0000 0.6856  5 Pr 3.01-3.14
Se 0.5000 0.5000 0.1856  5 Pr 3.01-3.14
Se 0.5000 0.5000 0.8144  5 Pr 3.01-3.14

=====

# 4
Below is an optimized crystal structure of Pr5BiSe4, with properties calculated at the PBE level.

Results
The value obtained for the total energy is -5.82 eV per atom.

Lattice parameters (Å, degrees): 7.5401 7.5401 10.6370 118.14 118.14 33.39
Closest atoms and distances in Å follow each position.
Fractional coordinates of all 10 atoms:
Pr 0.0000 0.0000 0.0000  6 Se 3.05-3.07
Pr 0.2052 0.2052 0.8135  5 Se 3.02-3.06, 1 Bi 3.19
Pr 0.3926 0.3926 0.6086  4 Se 3.01-3.10, 2 Bi 3.19
Pr 0.6074 0.6074 0.3914  4 Se 3.01-3.10, 2 Bi 3.19
Pr 0.7948 0.7948 0.1865  5 Se 3.02-3.06, 1 Bi 3.19
Bi 0.0000 0.0000 0.5000  6 Pr 3.19
Se 0.2042 0.2042 0.2948  6 Pr 3.02-3.10
Se 0.4051 0.4051 0.1038  6 Pr 3.01-3.06
Se 0.5949 0.5949 0.8962  6 Pr 3.01-3.06
Se 0.7958 0.7958 0.7052  6 Pr 3.02-3.10

=====

# 5
Below is an optimized crystal structure of Pr3BiSe6, with properties calculated at the PBE level.

Results
The value obtained for the total energy is -5.39 eV per atom.

Lattice parameters (Å, degrees): 9.2377 9.2377 7.3290 90.00 90.00 103.07
Closest atoms and distances in Å follow each position.
Fractional coordinates of all 20 atoms:
Pr 0.0955 0.9045 0.5000  7 Se 3.03-3.11
Pr 0.2156 0.4153 0.6015  7 Se 2.95-3.23
Pr 0.4153 0.2156 0.1015  7 Se 2.95-3.23
Pr 0.5847 0.7844 0.6015  7 Se 2.95-3.23
Pr 0.7844 0.5847 0.1015  7 Se 2.95-3.23
Pr 0.9045 0.0955 0.0000  7 Se 3.03-3.11
Bi 0.3227 0.6773 0.1181  4 Se 2.76-3.03
Bi 0.6773 0.3227 0.6181  4 Se 2.76-3.03
Se 0.0649 0.5950 0.3193  1 Bi 2.76, 1 Pr 3.03
Se 0.1328 0.1963 0.2981  4 Pr 2.95-3.03
Se 0.1963 0.1328 0.7981  4 Pr 2.95-3.03
Se 0.2682 0.7318 0.7426  1 Bi 2.86, 3 Pr 3.04-3.07
Se 0.4050 0.9351 0.3193  1 Bi 2.76, 1 Pr 3.03
Se 0.4930 0.5070 0.3595  2 Bi 3.03-3.27, 4 Pr 3.07-3.23
Se 0.5070 0.4930 0.8595  2 Bi 3.03-3.27, 4 Pr 3.07-3.23
Se 0.5950 0.0649 0.8193  1 Bi 2.76, 1 Pr 3.03
Se 0.7318 0.2682 0.2426  1 Bi 2.86, 3 Pr 3.04-3.07
Se 0.8037 0.8672 0.2981  4 Pr 2.95-3.03
Se 0.8672 0.8037 0.7981  4 Pr 2.95-3.03
Se 0.9351 0.4050 0.8193  1 Bi 2.76, 1 Pr 3.03

=====

# 6
Below is an optimized crystal structure of Pr4Bi3Se, with properties calculated at the PBE level.

Results
The value obtained for the total energy is -5.45 eV per atom.

Lattice parameters (Å, degrees): 7.8828 9.1378 7.8843 90.00 109.53 90.00
Closest atoms and distances in Å follow each position.
Fractional coordinates of all 16 atoms:
Pr 0.2410 0.1201 0.0011  2 Se 3.15-3.16, 4 Bi 3.22-3.28
Pr 0.2410 0.8799 0.5011  2 Se 3.15-3.16, 4 Bi 3.22-3.28
Pr 0.2460 0.3698 0.4944  1 Se 3.17, 5 Bi 3.21-3.29
Pr 0.2460 0.6302 0.9944  1 Se 3.17, 5 Bi 3.21-3.29
Pr 0.7540 0.3698 0.0056  1 Se 3.17, 5 Bi 3.21-3.29
Pr 0.7540 0.6302 0.5056  1 Se 3.17, 5 Bi 3.21-3.29
Pr 0.7590 0.1201 0.4989  2 Se 3.15-3.16, 4 Bi 3.22-3.28
Pr 0.7590 0.8799 0.9989  2 Se 3.15-3.16, 4 Bi 3.22-3.28
Bi 0.0000 0.3739 0.7500  6 Pr 3.22-3.23
Bi 0.0000 0.6261 0.2500  6 Pr 3.22-3.23
Bi 0.5000 0.1245 0.7500  6 Pr 3.22-3.28
Bi 0.5000 0.3745 0.2500  6 Pr 3.21-3.29
Bi 0.5000 0.6255 0.7500  6 Pr 3.21-3.29
Bi 0.5000 0.8755 0.2500  6 Pr 3.22-3.28
Se 0.0000 0.1231 0.2500  6 Pr 3.15-3.17
Se 0.0000 0.8769 0.7500  6 Pr 3.15-3.17

=====

# 7
Below is an optimized crystal structure of Pr6BiSe5, with properties calculated at the PBE level.

Results
The value obtained for the total energy is -5.85 eV per atom.

Lattice parameters (Å, degrees): 7.4924 7.4924 7.5289 99.58 99.58 120.00
Closest atoms and distances in Å follow each position.
Fractional coordinates of all 12 atoms:
Pr 0.0673 0.4122 0.7377  5 Se 3.00-3.08, 1 Bi 3.19
Pr 0.2392 0.2392 0.2575  5 Se 2.95-3.07, 1 Bi 3.18
Pr 0.4122 0.0673 0.7377  5 Se 3.00-3.08, 1 Bi 3.19
Pr 0.5878 0.9327 0.2623  5 Se 3.00-3.08, 1 Bi 3.19
Pr 0.7608 0.7608 0.7425  5 Se 2.95-3.07, 1 Bi 3.18
Pr 0.9327 0.5878 0.2623  5 Se 3.00-3.08, 1 Bi 3.19
Bi 0.5000 0.5000 0.0000  6 Pr 3.18-3.19
Se 0.0000 0.0000 0.5000  6 Pr 2.95-3.05
Se 0.1678 0.8322 0.0000  6 Pr 3.07-3.08
Se 0.3397 0.6603 0.5000  6 Pr 3.00-3.06
Se 0.6603 0.3397 0.5000  6 Pr 3.00-3.06
Se 0.8322 0.1678 0.0000  6 Pr 3.07-3.08

=====

# 8
Below is an optimized crystal structure of PrBiSe3, with properties calculated at the PBE level.

Results
For the energy above the most stable polymorph in this dataset, the calculation gives 0.50 kJ/mol of atoms. The value obtained for the total energy is -4.93 eV per atom.

Lattice parameters (Å, degrees): 8.3171 4.2060 8.4725 90.00 91.71 90.00
Closest atoms and distances in Å follow each position.
Fractional coordinates of all 10 atoms:
Pr 0.1182 0.2500 0.2834  8 Se 2.97-3.24
Pr 0.8818 0.7500 0.7166  8 Se 2.97-3.24
Bi 0.3481 0.7500 0.8347  6 Se 2.89-3.08
Bi 0.6520 0.2500 0.1653  6 Se 2.89-3.08
Se 0.1167 0.2500 0.9008  2 Bi 2.92, 3 Pr 3.24
Se 0.1841 0.7500 0.5236  1 Bi 2.93, 3 Pr 2.97-3.04
Se 0.3814 0.7500 0.1747  3 Bi 2.89-3.08, 2 Pr 3.19
Se 0.6186 0.2500 0.8253  3 Bi 2.89-3.08, 2 Pr 3.19
Se 0.8159 0.2500 0.4764  1 Bi 2.93, 3 Pr 2.97-3.04
Se 0.8833 0.7500 0.0992  2 Bi 2.92, 3 Pr 3.24